(1)
Density functional theory data (PBE) for an optimized crystal structure of CaFe2Ni.

abc: 4.395 4.395 4.395
angles: 60.00 60.00 60.00
Each line ends with the local moment (μB).
Sites, in units of the cell vectors:
Fe 0.250 0.250 0.250  2.62
Fe 0.750 0.750 0.750  2.62
Ca 0.000 0.000 0.000  -0.07
Ni 0.500 0.500 0.500  0.73

Computed properties:
ΔH_f (0 K): 0.55 eV/atom
symmetry: No. 225

---

(2)
Density functional theory data (PBE) for an optimized crystal structure of Tb9Pr11Nd4.

abc: 3.742 15.558 15.558
angles: 112.96 90.00 90.00
Sites, in units of the cell vectors:
Pr 0.000 0.595 0.957
Pr 0.000 0.710 0.710
Pr 0.000 0.405 0.043
Pr 0.000 0.043 0.405
Pr 0.000 0.633 0.367
Pr 0.000 0.160 0.840
Pr 0.000 0.957 0.595
Pr 0.000 0.840 0.160
Pr 0.000 0.290 0.290
Pr 0.000 0.000 0.000
Pr 0.000 0.367 0.633
Tb 0.500 0.935 0.789
Tb 0.500 0.789 0.935
Tb 0.500 0.500 0.500
Tb 0.500 0.634 0.164
Tb 0.500 0.164 0.634
Tb 0.500 0.065 0.211
Tb 0.500 0.366 0.836
Tb 0.500 0.836 0.366
Tb 0.500 0.211 0.065
Nd 0.500 0.555 0.757
Nd 0.500 0.243 0.445
Nd 0.500 0.445 0.243
Nd 0.500 0.757 0.555

Computed properties:
ΔH_f (0 K): 0.06 eV/atom
symmetry: No. 65

---

(3)
Density functional theory data (PBE) for an optimized crystal structure of Ca2AlCd.

abc: 10.472 10.472 10.472
angles: 20.32 20.32 20.32
Sites, in units of the cell vectors:
Cd 0.491 0.491 0.491
Al 0.758 0.758 0.758
Ca 0.238 0.238 0.238
Ca 0.013 0.013 0.013

Computed properties:
ΔH_f (0 K): 0.03 eV/atom
symmetry: No. 160

---

(4)
Density functional theory data (PBE) for an optimized crystal structure of KPr2Sn3Se6.

abc: 4.480 8.597 9.719
angles: 101.42 103.33 90.00
Sites, in units of the cell vectors:
Se 0.989 0.729 0.977
Se 0.320 0.907 0.640
Se 0.011 0.271 0.023
Se 0.667 0.575 0.335
Se 0.680 0.093 0.360
Se 0.333 0.425 0.665
K 0.500 0.000 0.000
Sn 0.500 0.500 0.000
Sn 0.163 0.856 0.326
Sn 0.837 0.144 0.674
Pr 0.832 0.666 0.665
Pr 0.168 0.334 0.335

Computed properties:
E_form (uncorrected): -99 kJ/mol of atoms
symmetry: No. 12

---

(5)
Density functional theory data (PBE) for an optimized crystal structure of SrTlCuAgRh.

abc: 5.337 4.257 10.689
angles: 90.00 108.60 90.00
Sites, in units of the cell vectors:
Cu 0.786 0.500 0.318
Cu 0.786 0.000 0.818
Tl 0.360 0.000 0.915
Tl 0.360 0.500 0.415
Ag 0.488 0.000 0.213
Ag 0.488 0.500 0.713
Rh 0.036 0.500 0.795
Rh 0.036 0.000 0.295
Sr 0.939 0.500 0.063
Sr 0.939 0.000 0.563

Computed properties:
ΔH_f (0 K): -0.10 eV/atom
symmetry: No. 8

---

(6)
Density functional theory data (PBE) for an optimized crystal structure of La5Re2O12.

abc: 5.817 7.188 8.020
angles: 106.33 90.00 113.87
Each line ends with the local moment (μB).
Sites, in units of the cell vectors:
O 0.501 0.002 0.163  0.00
O 0.407 0.312 0.578  0.00
O 0.597 0.685 0.923  0.01
O 0.088 0.685 0.923  0.01
O 0.912 0.315 0.077  0.01
O 0.905 0.312 0.578  0.00
O 0.403 0.315 0.077  0.01
O 0.499 0.998 0.837  0.00
O 0.001 0.002 0.196  0.00
O 0.593 0.688 0.422  0.00
O 0.999 0.998 0.804  0.00
O 0.095 0.688 0.422  0.00
La 0.000 0.000 0.500  0.00
La 0.691 0.381 0.354  0.00
La 0.309 0.619 0.646  0.00
La 0.685 0.370 0.830  0.00
La 0.315 0.630 0.170  0.00
Re 0.212 0.000 0.000  0.07
Re 0.788 0.000 0.000  0.07

Computed properties:
E_form (uncorrected): -276 kJ/mol of atoms
symmetry: No. 12

---

(7)
Density functional theory data (PBE) for an optimized crystal structure of Rb2Tl2Ni.

abc: 7.302 7.302 6.507
angles: 90.00 90.00 90.00
Sites, in units of the cell vectors:
Tl 0.684 0.184 0.000
Tl 0.816 0.684 0.000
Tl 0.316 0.816 0.000
Tl 0.184 0.316 0.000
Ni 0.500 0.500 0.000
Ni 0.000 0.000 0.000
Rb 0.675 0.825 0.500
Rb 0.825 0.325 0.500
Rb 0.325 0.175 0.500
Rb 0.175 0.675 0.500

Computed properties:
ΔH_f (0 K): 0.21 eV/atom
symmetry: No. 127

---

(8)
Density functional theory data (PBE) for an optimized crystal structure of DyScS3.

abc: 3.733 7.852 14.006
angles: 90.00 90.00 90.00
Sites, in units of the cell vectors:
S 0.750 0.346 0.295
S 0.750 0.491 0.890
S 0.250 0.509 0.110
S 0.250 0.154 0.795
S 0.750 0.846 0.205
S 0.750 0.991 0.610
S 0.250 0.845 0.945
S 0.250 0.654 0.705
S 0.250 0.009 0.390
S 0.750 0.155 0.055
S 0.250 0.345 0.555
S 0.750 0.655 0.445
Sc 0.750 0.195 0.461
Sc 0.750 0.695 0.039
Sc 0.250 0.305 0.961
Sc 0.250 0.805 0.539
Dy 0.750 0.862 0.798
Dy 0.250 0.138 0.202
Dy 0.250 0.638 0.298
Dy 0.750 0.362 0.702

Computed properties:
E_form (uncorrected): -188 kJ/mol of atoms
symmetry: No. 62

---

(9)
Density functional theory data (PBE) for an optimized crystal structure of Te2AuCl.

abc: 4.152 4.152 7.526
angles: 73.98 73.98 60.01
Sites, in units of the cell vectors:
Au 0.750 0.750 0.750
Te 0.484 0.484 0.548
Te 0.016 0.016 0.952
Cl 0.250 0.250 0.250

Computed properties:
E_form (uncorrected): -17 kJ/mol of atoms
symmetry: No. 166

---

(10)
Density functional theory data (PBE) for an optimized crystal structure of K2MoRh.

abc: 5.174 5.174 5.174
angles: 120.02 120.02 89.97
Each line ends with the local moment (μB).
Sites, in units of the cell vectors:
K 0.250 0.750 0.500  0.04
K 0.000 0.000 0.000  0.01
Mo 0.500 0.500 0.000  2.94
Rh 0.750 0.250 0.500  0.00

Computed properties:
ΔH_f (0 K): 1.38 eV/atom
symmetry: No. 216

---

(11)
Density functional theory data (PBE) for an optimized crystal structure of CuMoC3.

abc: 4.074 4.074 4.074
angles: 90.00 90.00 90.00
Sites, in units of the cell vectors:
C 0.000 0.000 0.500
C 0.500 0.000 0.000
C 0.000 0.500 0.000
Cu 0.500 0.500 0.500
Mo 0.000 0.000 0.000

Computed properties:
ΔH_f (0 K): 2.11 eV/atom
symmetry: No. 221

---

(12)
Density functional theory data (PBE) for an optimized crystal structure of GaGeSb.

abc: 4.345 6.262 6.276
angles: 76.25 69.86 69.72
Sites, in units of the cell vectors:
Sb 0.540 0.339 0.420
Sb 0.991 0.839 0.927
Ga 0.080 0.265 0.838
Ga 0.669 0.644 0.733
Ge 0.085 0.767 0.349
Ge 0.253 0.146 0.210

Computed properties:
E_form (uncorrected): 8 kJ/mol of atoms
symmetry: No. 1

---

(13)
Density functional theory data (PBE) for an optimized crystal structure of Er3Ga2Hg2.

abc: 4.193 3.526 11.109
angles: 90.00 79.12 90.00
Sites, in units of the cell vectors:
Ga 0.283 0.500 0.435
Ga 0.717 0.500 0.565
Er 0.836 0.000 0.329
Er 0.000 0.000 0.000
Er 0.164 0.000 0.671
Hg 0.579 0.500 0.842
Hg 0.421 0.500 0.158

Computed properties:
ΔH_f (0 K): -0.51 eV/atom
symmetry: No. 65

---

(14)
Density functional theory data (PBE) for an optimized crystal structure of TbNdZn3.

abc: 4.874 6.461 9.182
angles: 124.86 105.39 90.00
Sites, in units of the cell vectors:
Nd 0.389 0.732 0.777
Nd 0.611 0.268 0.223
Zn 0.982 0.179 0.964
Zn 0.799 0.756 0.597
Zn 0.201 0.244 0.403
Zn 0.018 0.821 0.036
Zn 0.425 0.260 0.850
Zn 0.575 0.740 0.150
Tb 0.178 0.751 0.357
Tb 0.822 0.249 0.643

Computed properties:
ΔH_f (0 K): -0.23 eV/atom
symmetry: No. 12

---

(15)
Density functional theory data (PBE) for an optimized crystal structure of PmLuAlCu.

abc: 5.058 5.058 5.058
angles: 60.00 60.00 60.00
Sites, in units of the cell vectors:
Al 0.750 0.750 0.750
Pm 0.000 0.000 0.000
Lu 0.500 0.500 0.500
Cu 0.250 0.250 0.250

Computed properties:
ΔH_f (0 K): -0.26 eV/atom
symmetry: No. 216

---

(16)
Density functional theory data (PBE) for an optimized crystal structure of MgSi2Cl.

abc: 5.046 5.046 2.912
angles: 90.00 90.00 90.00
Sites, in units of the cell vectors:
Cl 0.500 0.000 0.500
Si 0.500 0.500 0.000
Si 0.000 0.000 0.000
Mg 0.000 0.500 0.500

Computed properties:
E_form (uncorrected): 29 kJ/mol of atoms
symmetry: No. 123

---

(17)
Density functional theory data (PBE) for an optimized crystal structure of TlAg2SnF8.

abc: 4.828 5.669 7.553
angles: 89.97 90.01 93.03
Sites, in units of the cell vectors:
F 0.838 0.189 0.198
F 0.838 0.189 0.801
F 0.162 0.811 0.802
F 0.632 0.735 0.501
F 0.162 0.811 0.199
F 0.322 0.239 0.000
F 0.678 0.761 0.000
F 0.368 0.265 0.499
Ag 0.501 0.500 0.252
Ag 0.499 0.500 0.748
Tl 0.000 0.000 0.500
Sn 0.000 0.000 0.000

Computed properties:
E_form (uncorrected): -174 kJ/mol of atoms
symmetry: No. 2

---

(18)
Density functional theory data (PBE) for an optimized crystal structure of LaPrDy5Ho2.

abc: 8.711 8.711 9.967
angles: 115.91 115.91 90.00
Sites, in units of the cell vectors:
Pr 0.750 0.250 0.500
Pr 0.250 0.750 0.500
Dy 0.068 0.568 0.737
Dy 0.500 0.500 0.000
Dy 0.932 0.432 0.263
Dy 0.432 0.332 0.263
Dy 0.668 0.168 0.737
Dy 0.000 0.000 0.000
Dy 0.168 0.068 0.737
Dy 0.568 0.668 0.737
Dy 0.832 0.932 0.263
Dy 0.332 0.832 0.263
La 0.750 0.750 0.500
La 0.250 0.250 0.500
Ho 0.882 0.618 0.000
Ho 0.618 0.118 0.000
Ho 0.382 0.882 0.000
Ho 0.118 0.382 0.000

Computed properties:
ΔH_f (0 K): 0.27 eV/atom
symmetry: No. 140

---

(19)
Density functional theory data (PBE) for an optimized crystal structure of CsPaCo2Cl8.

abc: 6.451 6.451 11.532
angles: 73.76 73.76 60.00
Each line ends with the local moment (μB).
Sites, in units of the cell vectors:
Pa 0.000 0.000 0.000  -0.95
Cl 0.961 0.615 0.144  0.04
Cl 0.615 0.280 0.144  0.04
Cl 0.812 0.812 0.565  0.08
Cl 0.039 0.385 0.856  0.04
Cl 0.188 0.188 0.435  0.08
Cl 0.720 0.039 0.856  0.04
Cl 0.280 0.961 0.144  0.04
Cl 0.385 0.720 0.856  0.04
Co 0.255 0.255 0.234  2.15
Co 0.745 0.745 0.766  2.15
Cs 0.500 0.500 0.500  0.00

Computed properties:
E_form (uncorrected): -120 kJ/mol of atoms
symmetry: No. 148

---

(20)
Density functional theory data (PBE) for an optimized crystal structure of ScTl2Hg.

abc: 3.908 3.908 6.666
angles: 90.00 90.00 90.00
Sites, in units of the cell vectors:
Sc 0.500 0.500 0.750
Tl 0.000 0.000 0.506
Tl 0.000 0.000 0.994
Hg 0.500 0.500 0.250

Computed properties:
ΔH_f (0 K): -0.02 eV/atom
symmetry: No. 123

---

| no. | D(E_F) (states/eV per cell) | V (A^3/atom) |
| --- | --- | --- |
| 1 | 5.50 | 15.01 |
| 2 | 31.69 | 34.75 |
| 3 | 2.18 | 30.31 |
| 4 | 2.61 | 29.72 |
| 5 | 4.20 | 23.01 |
| 6 | 5.17 | 15.36 |
| 7 | 3.28 | 34.69 |
| 8 | 0.08 | 20.53 |
| 9 | 0.51 | 26.63 |
| 10 | 6.77 | 24.48 |
| 11 | 4.57 | 13.53 |
| 12 | 0.46 | 24.84 |
| 13 | 5.56 | 23.04 |
| 14 | 6.87 | 22.45 |
| 15 | 3.80 | 22.87 |
| 16 | 1.70 | 18.54 |
| 17 | 2.75 | 17.20 |
| 18 | 22.87 | 33.04 |
| 19 | 10.26 | 32.78 |
| 20 | 3.78 | 25.45 |